[1]
# PuGa2Ir

Crystalline PuGa2Ir at its relaxed geometry (PBE, Alexandria).

spin magnetization = 1.438 μB per atom
E_form = -1.6 eV/f.u.
final energy = -7.712 eV/atom

The structure in CIF format:
```
data_PuGa2Ir
_chemical_formula_sum 'Pu3 Ga6 Ir3'
_space_group_name_H-M_alt 'R -3 m'
_space_group_IT_number 166
_space_group_name_Hall '-R 3 2"'
_cell_length_a 4.2461
_cell_length_b 4.2461
_cell_length_c 15.1341
_cell_angle_alpha 90.00
_cell_angle_beta 90.00
_cell_angle_gamma 120.00
loop_
_atom_site_label
_atom_site_fract_x
_atom_site_fract_y
_atom_site_fract_z
Pu1 0.0000 0.0000 0.0000
Ga1 0.0000 0.0000 0.2161
Ir1 0.0000 0.0000 0.5000
```

[2]
# ErBe2Rh2

Crystalline ErBe2Rh2 at its relaxed geometry (PBE, Alexandria).

spin magnetization = 0.000 μB per atom
E_form = -3.5 eV/f.u.
final energy = -6.034 eV/atom

The structure in CIF format:
```
data_ErBe2Rh2
_chemical_formula_sum 'Er2 Be4 Rh4'
_space_group_name_H-M_alt 'I 4/m m m'
_space_group_IT_number 139
_space_group_name_Hall '-I 4 2'
_cell_length_a 4.1398
_cell_length_b 4.1398
_cell_length_c 8.5420
_cell_angle_alpha 90.00
_cell_angle_beta 90.00
_cell_angle_gamma 90.00
loop_
_atom_site_label
_atom_site_fract_x
_atom_site_fract_y
_atom_site_fract_z
Er1 0.0000 0.0000 0.0000
Be1 0.0000 0.0000 0.3579
Rh1 0.0000 0.5000 0.2500
```

[3]
# Os2RhBr

Crystalline Os2RhBr at its relaxed geometry (PBE, Alexandria).

energy above the lowest structure with this stoichiometry = 415.4 meV/atom
spin magnetization = 0.000 μB per atom
energy relative to the elements, uncorrected = 1024.8 meV per atom
final energy = -6.846 eV/atom

The structure in CIF format:
```
data_Os2RhBr
_chemical_formula_sum 'Os4 Rh2 Br2'
_space_group_name_H-M_alt 'C m m m'
_space_group_IT_number 65
_space_group_name_Hall '-C 2 2'
_cell_length_a 2.7234
_cell_length_b 4.6279
_cell_length_c 12.4868
_cell_angle_alpha 90.00
_cell_angle_beta 90.00
_cell_angle_gamma 90.00
loop_
_atom_site_label
_atom_site_fract_x
_atom_site_fract_y
_atom_site_fract_z
Os1 0.0000 0.0000 0.1835
Rh1 0.0000 0.5000 0.0000
Br1 0.0000 0.5000 0.5000
```

[4]
# Ta2VRe

Crystalline Ta2VRe at its relaxed geometry (PBE, Alexandria).

spin magnetization = 0.000 μB per atom
E_form = -1.0 eV/f.u.
final energy = -11.570 eV/atom

The structure in CIF format:
```
data_Ta2VRe
_chemical_formula_sum 'Ta2 V1 Re1'
_space_group_name_H-M_alt 'P 4/m m m'
_space_group_IT_number 123
_space_group_name_Hall '-P 4 2'
_cell_length_a 4.5017
_cell_length_b 4.5017
_cell_length_c 3.1855
_cell_angle_alpha 90.00
_cell_angle_beta 90.00
_cell_angle_gamma 90.00
loop_
_atom_site_label
_atom_site_fract_x
_atom_site_fract_y
_atom_site_fract_z
Ta1 0.0000 0.5000 0.0000
V1 0.0000 0.0000 0.5000
Re1 0.5000 0.5000 0.5000
```

[5]
# NpFe2Si

Crystalline NpFe2Si at its relaxed geometry (PBE, Alexandria).

spin magnetization = 0.213 μB per atom
energy relative to the elements, uncorrected = -154.3 meV per atom
final energy = -8.977 eV/atom

The structure in CIF format:
```
data_NpFe2Si
_chemical_formula_sum 'Np1 Fe2 Si1'
_space_group_name_H-M_alt 'P 4/m m m'
_space_group_IT_number 123
_space_group_name_Hall '-P 4 2'
_cell_length_a 2.7830
_cell_length_b 2.7830
_cell_length_c 6.6001
_cell_angle_alpha 90.00
_cell_angle_beta 90.00
_cell_angle_gamma 90.00
loop_
_atom_site_label
_atom_site_fract_x
_atom_site_fract_y
_atom_site_fract_z
Np1 0.0000 0.0000 0.0000
Fe1 0.5000 0.5000 0.2941
Si1 0.0000 0.0000 0.5000
```

[6]
# ThAlCu

Crystalline ThAlCu at its relaxed geometry (PBE, Alexandria).

spin magnetization = 0.000 μB per atom
E_form = -1.0 eV/f.u.
final energy = -5.429 eV/atom

The structure in CIF format:
```
data_ThAlCu
_chemical_formula_sum 'Th6 Al6 Cu6'
_space_group_name_H-M_alt 'P m m a'
_space_group_IT_number 51
_space_group_name_Hall '-P 2a 2a'
_cell_length_a 13.1818
_cell_length_b 4.0210
_cell_length_c 7.0971
_cell_angle_alpha 90.00
_cell_angle_beta 90.00
_cell_angle_gamma 90.00
loop_
_atom_site_label
_atom_site_fract_x
_atom_site_fract_y
_atom_site_fract_z
Th1 0.0418 0.0000 0.2333
Th2 0.2500 0.0000 0.6229
Al1 0.1447 0.5000 0.9183
Al2 0.2500 0.5000 0.2695
Cu1 0.0925 0.5000 0.5443
Cu2 0.2500 0.0000 0.0491
```

[7]
# NaNdSm2Tl4

Crystalline NaNdSm2Tl4 at its relaxed geometry (PBE, Alexandria).

spin magnetization = 0.000 μB per atom
E_form = -2.6 eV/f.u.
final energy = -3.443 eV/atom

The structure in CIF format:
```
data_NaNdSm2Tl4
_chemical_formula_sum 'Na3 Nd3 Sm6 Tl12'
_space_group_name_H-M_alt 'R -3 m'
_space_group_IT_number 166
_space_group_name_Hall '-R 3 2"'
_cell_length_a 5.4051
_cell_length_b 5.4051
_cell_length_c 27.1456
_cell_angle_alpha 90.00
_cell_angle_beta 90.00
_cell_angle_gamma 120.00
loop_
_atom_site_label
_atom_site_fract_x
_atom_site_fract_y
_atom_site_fract_z
Na1 0.0000 0.0000 0.0000
Nd1 0.0000 0.0000 0.5000
Sm1 0.0000 0.0000 0.2552
Tl1 0.0000 0.0000 0.1244
Tl2 0.0000 0.0000 0.3746
```

[8]
# InNi2Br

Crystalline InNi2Br at its relaxed geometry (PBE, Alexandria).

energy above the lowest structure with this stoichiometry = 110.8 meV/atom
spin magnetization = 0.110 μB per atom
energy relative to the elements, uncorrected = 158.4 meV per atom
final energy = -3.835 eV/atom

The structure in CIF format:
```
data_InNi2Br
_chemical_formula_sum 'In1 Ni2 Br1'
_space_group_name_H-M_alt 'P 4 m m'
_space_group_IT_number 99
_space_group_name_Hall 'P 4 -2'
_cell_length_a 3.3632
_cell_length_b 3.3632
_cell_length_c 6.3529
_cell_angle_alpha 90.00
_cell_angle_beta 90.00
_cell_angle_gamma 90.00
loop_
_atom_site_label
_atom_site_fract_x
_atom_site_fract_y
_atom_site_fract_z
In1 0.0000 0.0000 0.0000
Ni1 0.0000 0.0000 0.4129
Ni2 0.5000 0.5000 0.1874
Br1 0.5000 0.5000 0.5572
```

[9]
# Rb2BaS2

Crystalline Rb2BaS2 at its relaxed geometry (PBE, Alexandria).

spin magnetization = 0.000 μB per atom
energy relative to the elements, uncorrected = -1138.4 meV per atom
final energy = -3.561 eV/atom

The structure in CIF format:
```
data_Rb2BaS2
_chemical_formula_sum 'Rb4 Ba2 S4'
_space_group_name_H-M_alt 'P 4/m b m'
_space_group_IT_number 127
_space_group_name_Hall '-P 4 2ab'
_cell_length_a 8.7037
_cell_length_b 8.7037
_cell_length_c 4.7427
_cell_angle_alpha 90.00
_cell_angle_beta 90.00
_cell_angle_gamma 90.00
loop_
_atom_site_label
_atom_site_fract_x
_atom_site_fract_y
_atom_site_fract_z
Rb1 0.1294 0.3706 0.0000
Ba1 0.0000 0.0000 0.5000
S1 0.1850 0.6850 0.5000
```

[10]
# Ba4PbAu

Crystalline Ba4PbAu at its relaxed geometry (PBE, Alexandria).

energy above the lowest structure with this stoichiometry = 0.0 meV/atom
spin magnetization = 0.001 μB per atom
E_form = -2.7 eV/f.u.
final energy = -2.898 eV/atom

The structure in CIF format:
```
data_Ba4PbAu
_chemical_formula_sum 'Ba16 Pb4 Au4'
_space_group_name_H-M_alt 'C 1 2/c 1'
_space_group_IT_number 15
_space_group_name_Hall '-C 2yc'
_cell_length_a 10.9187
_cell_length_b 15.7059
_cell_length_c 7.9049
_cell_angle_alpha 90.00
_cell_angle_beta 124.74
_cell_angle_gamma 90.00
loop_
_atom_site_label
_atom_site_fract_x
_atom_site_fract_y
_atom_site_fract_z
Ba1 0.1202 0.1799 0.0911
Ba2 0.2054 0.4421 0.2823
Pb1 0.0000 0.3661 0.7500
Au1 0.0000 0.9999 0.2500
```

[11]
# V2CdCl

Crystalline V2CdCl at its relaxed geometry (PBE, Alexandria).

energy above the lowest structure with this stoichiometry = 104.1 meV/atom
spin magnetization = 0.158 μB per atom
energy relative to the elements, uncorrected = 785.5 meV per atom
final energy = -4.464 eV/atom

The structure in CIF format:
```
data_V2CdCl
_chemical_formula_sum 'V8 Cd4 Cl4'
_space_group_name_H-M_alt 'F m -3 m'
_space_group_IT_number 225
_space_group_name_Hall '-F 4 2 3'
_cell_length_a 6.3820
_cell_length_b 6.3820
_cell_length_c 6.3820
_cell_angle_alpha 90.00
_cell_angle_beta 90.00
_cell_angle_gamma 90.00
loop_
_atom_site_label
_atom_site_fract_x
_atom_site_fract_y
_atom_site_fract_z
V1 0.2500 0.2500 0.2500
Cd1 0.0000 0.0000 0.0000
Cl1 0.0000 0.0000 0.5000
```

[12]
# P2OsRu

Crystalline P2OsRu at its relaxed geometry (PBE, Alexandria).

energy above the lowest structure with this stoichiometry = 294.2 meV/atom
spin magnetization = 0.000 μB per atom
E_form = -0.2 eV/f.u.
final energy = -7.884 eV/atom

The structure in CIF format:
```
data_P2OsRu
_chemical_formula_sum 'P8 Os4 Ru4'
_space_group_name_H-M_alt 'F m -3 m'
_space_group_IT_number 225
_space_group_name_Hall '-F 4 2 3'
_cell_length_a 5.9172
_cell_length_b 5.9172
_cell_length_c 5.9172
_cell_angle_alpha 90.00
_cell_angle_beta 90.00
_cell_angle_gamma 90.00
loop_
_atom_site_label
_atom_site_fract_x
_atom_site_fract_y
_atom_site_fract_z
P1 0.2500 0.2500 0.2500
Os1 0.0000 0.0000 0.0000
Ru1 0.0000 0.0000 0.5000
```